Computed, not measured: an optimized crystal structure of DyAg3 at the GGA-PBEsol level of DFT.

## Properties
- DFT formation energy (eV/atom) = -0.237
- total magnetization (μB per formula unit) = 0.000

a = 4.3391 Å, b = 4.3391 Å, c = 5.1069 Å
α = 115.14°, β = 115.14°, γ = 90.00°
Closest atoms and distances in Å follow each position.
Fractional coordinates of all 4 atoms:
1 Ag 0.2500 0.7500 0.5000  4 Dy 2.98, 8 Ag 2.98-3.07
2 Ag 0.7500 0.2500 0.5000  4 Dy 2.98, 8 Ag 2.98-3.07
3 Ag 0.5000 0.5000 0.0000  8 Ag 2.98, 4 Dy 3.07
4 Dy 0.0000 0.0000 0.0000  12 Ag 2.98-3.07